Here is a relaxed structure of PmEuHgPb from the Alexandria database. Energies are from PBE.

The magnetic moment is 7.79 μB per formula unit. The calculation puts the formation energy at -50.26 kJ per mole of atoms. The theoretical density comes out at 9834 kg/m³. The density of states at the Fermi level comes out at 11.72 states/eV per cell.

Cell lengths 7.8079, 7.8079, 7.8079 Å; angles 90.00, 90.00, 90.00 degrees
Closest atoms and distances in Å follow each position.
Space group F-43m (No. 216)
Symmetry-distinct sites (fractional):
Pm 0.0000 0.0000 0.0000 (multiplicity 4)  4 Hg 3.38, 4 Pb 3.38
Eu 0.0000 0.0000 0.5000 (multiplicity 4)  4 Hg 3.38, 4 Pb 3.38
Hg 0.2500 0.2500 0.2500 (multiplicity 4)  4 Pm 3.38, 4 Eu 3.38
Pb 0.2500 0.2500 0.7500 (multiplicity 4)  4 Pm 3.38, 4 Eu 3.38